HfBe3F: optimized geometry, GGA-PBE.

a = 5.053 Å, b = 5.053 Å, c = 5.053 Å
α = 90.00°, β = 90.00°, γ = 90.00°
Sites, in units of the cell vectors:
F 0.500 0.500 0.500
Be 0.500 0.000 0.000
Be 0.000 0.000 0.500
Be 0.000 0.500 0.000
Hf 0.000 0.000 0.000

Results
**Density of states at the Fermi level**: 4.7 states/eV/f.u.
**Offset from the most stable computed form**: 1639 meV per atom
**Energy**: -2.93 eV per atom



HfBeN2F: optimized geometry, GGA-PBE.

a = 3.611 Å, b = 3.611 Å, c = 3.323 Å
α = 90.00°, β = 90.00°, γ = 90.00°
Sites, in units of the cell vectors:
N 0.000 0.500 0.000
Hf 0.500 0.500 0.500
N 0.500 0.000 0.000
F 0.000 0.000 0.500
Be 0.000 0.000 0.000

Results
**Density of states at the Fermi level**: 2.1 states/eV/f.u.
**Offset from the most stable computed form**: 0 meV per atom
**Energy**: -7.46 eV per atom



HfBeNF2: optimized geometry, GGA-PBE.

a = 3.144 Å, b = 3.144 Å, c = 6.612 Å
α = 90.00°, β = 90.00°, γ = 90.00°
Sites, in units of the cell vectors:
Be 0.000 0.000 0.000
Hf 0.500 0.500 0.500
F 0.000 0.500 0.000
N 0.000 0.000 0.500
F 0.500 0.000 0.000

Results
**Density of states at the Fermi level**: 1.3 states/eV/f.u.
**Offset from the most stable computed form**: 0 meV per atom
**Energy**: -7.06 eV per atom



| no. | E_form (uncorrected) (eV/atom) | calculated volume (Å³/atom) |
| --- | --- | --- |
| 1 | 1.67 | 25.806 |
| 2 | -1.02 | 8.664 |
| 3 | -1.91 | 13.070 |